# 1
A relaxed MgTlFeW crystal, computed with PBE.

```
MgTlFeW
1.0
6.526 0.000 0.000
0.000 6.526 0.000
0.000 0.000 6.526
Mg Tl Fe W
4 4 4 4
direct
0.000 0.000 0.000
0.000 0.500 0.500
0.500 0.000 0.500
0.500 0.500 0.000
0.000 0.000 0.500
0.000 0.500 0.000
0.500 0.000 0.000
0.500 0.500 0.500
0.250 0.250 0.750
0.250 0.750 0.250
0.750 0.250 0.250
0.750 0.750 0.750
0.250 0.250 0.250
0.250 0.750 0.750
0.750 0.250 0.750
0.750 0.750 0.250
```

Properties
Symmetry   No. 216
Uncorrected energy   -21.4 eV per formula unit
Calculated volume   17.374 Å³/atom

# 2
A relaxed LiNpCl6 crystal, computed with PBE.

```
LiNpCl6
1.0
3.280 1.894 5.863
-3.280 1.894 5.863
0.000 -3.787 5.863
Li Np Cl
1 1 6
direct
0.000 0.000 0.000
0.500 0.500 0.500
0.119 0.744 0.389
0.256 0.611 0.881
0.389 0.119 0.744
0.611 0.881 0.256
0.744 0.389 0.119
0.881 0.256 0.611
```

Properties
Symmetry   No. 148
Uncorrected energy   -38.1 eV per formula unit
Calculated volume   27.310 Å³/atom

# 3
A relaxed La2TbSi4Au4 crystal, computed with PBE.

```
La2TbSi4Au4
1.0
-2.142 2.159 12.622
2.142 -2.159 12.622
2.142 2.159 -12.622
La Tb Si Au
2 1 4 4
direct
0.147 0.147 0.000
0.853 0.853 0.000
0.500 0.000 0.500
0.046 0.546 0.500
0.309 0.309 0.000
0.691 0.691 0.000
0.954 0.454 0.500
0.250 0.750 0.500
0.407 0.407 0.000
0.593 0.593 0.000
0.750 0.250 0.500
```

Properties
Symmetry   No. 71
Uncorrected energy   -57.6 eV per formula unit
Calculated volume   21.234 Å³/atom

# 4
A relaxed Tm3Mg3Tl2Ag crystal, computed with PBE.

```
Tm3Mg3Tl2Ag
1.0
7.496 0.000 0.000
-3.748 6.492 0.000
0.000 0.000 4.468
Tm Mg Tl Ag
3 3 2 1
direct
0.000 0.583 0.000
0.417 0.417 0.000
0.583 0.000 0.000
0.000 0.238 0.500
0.238 0.000 0.500
0.762 0.762 0.500
0.333 0.667 0.500
0.667 0.333 0.500
0.000 0.000 0.000
```

Properties
Symmetry   No. 189
Uncorrected energy   -28.4 eV per formula unit
Calculated volume   24.157 Å³/atom

# 5
A relaxed NdCo2 crystal, computed with PBE.

```
NdCo2
1.0
5.149 0.000 0.000
0.000 5.149 0.000
0.000 0.000 4.349
Nd Co
2 4
direct
0.000 0.000 0.000
0.500 0.500 0.500
0.166 0.166 0.500
0.334 0.666 0.000
0.666 0.334 0.000
0.834 0.834 0.500
```

Properties
Symmetry   No. 136
Calculated volume   19.215 Å³/atom
Energy of formation   33.4 kcal/mol of atoms

# 6
A relaxed Pu2Te3 crystal, computed with PBE.

```
Pu2Te3
1.0
4.435 0.000 0.000
-2.217 3.841 0.000
0.000 0.000 32.257
Pu Te
6 9
direct
0.000 0.000 0.108
0.000 0.000 0.892
0.333 0.667 0.559
0.333 0.667 0.774
0.667 0.333 0.226
0.667 0.333 0.441
0.000 0.000 0.276
0.000 0.000 0.500
0.000 0.000 0.724
0.333 0.667 0.167
0.333 0.667 0.391
0.333 0.667 0.942
0.667 0.333 0.058
0.667 0.333 0.609
0.667 0.333 0.833
```

Properties
Symmetry   No. 166
Uncorrected energy   -42.8 eV per formula unit
Calculated volume   36.626 Å³/atom

Which value of calculated volume does entry 5 give? 19.215 Å³/atom

Copy entry 4 word for word.
A relaxed Tm3Mg3Tl2Ag crystal, computed with PBE.

```
Tm3Mg3Tl2Ag
1.0
7.496 0.000 0.000
-3.748 6.492 0.000
0.000 0.000 4.468
Tm Mg Tl Ag
3 3 2 1
direct
0.000 0.583 0.000
0.417 0.417 0.000
0.583 0.000 0.000
0.000 0.238 0.500
0.238 0.000 0.500
0.762 0.762 0.500
0.333 0.667 0.500
0.667 0.333 0.500
0.000 0.000 0.000
```

Properties
Symmetry   No. 189
Uncorrected energy   -28.4 eV per formula unit
Calculated volume   24.157 Å³/atom

Please write out number 2 again, unchanged.
A relaxed LiNpCl6 crystal, computed with PBE.

```
LiNpCl6
1.0
3.280 1.894 5.863
-3.280 1.894 5.863
0.000 -3.787 5.863
Li Np Cl
1 1 6
direct
0.000 0.000 0.000
0.500 0.500 0.500
0.119 0.744 0.389
0.256 0.611 0.881
0.389 0.119 0.744
0.611 0.881 0.256
0.744 0.389 0.119
0.881 0.256 0.611
```

Properties
Symmetry   No. 148
Uncorrected energy   -38.1 eV per formula unit
Calculated volume   27.310 Å³/atom